# NbCrRe2H, relaxed, DFT GGA-PBE
data_NbCrRe2H
_cell_length_a 4.291
_cell_length_b 4.291
_cell_length_c 3.421
_cell_angle_alpha 90.00
_cell_angle_beta 90.00
_cell_angle_gamma 90.00
_space_group_name_H-M_alt 'P 1'
_space_group_IT_number 1
loop_
_space_group_symop_operation_xyz
'x,y,z'
loop_
_atom_site_label
_atom_site_type_symbol
_atom_site_fract_x
_atom_site_fract_y
_atom_site_fract_z
Nb1 Nb 0.000 0.000 0.000
Cr1 Cr 0.500 0.500 0.000
Re1 Re 0.000 0.500 0.500
Re2 Re 0.500 0.000 0.500
H1 H 0.500 0.500 0.500
# - final energy (eV/atom) = -9.47
# - ΔE to the lowest computed polymorph (kJ/mol of formula units) = 0
# - DOS(E_F) (states/eV/f.u.) = 4.42